# Tb2ScPt3

Tb2ScPt3 after structural relaxation (PBE-GGA, the Alexandria database).

Cell lengths 4.0779, 5.6716, 6.8554 Å; angles 114.43, 107.30, 90.00 degrees
Atoms (fractional coordinates):
Sc  0.0000  0.5000  0.0000
Pt  0.0000  0.0000  0.0000
Pt  0.6512  0.6512  0.3023
Pt  0.3488  0.3488  0.6977
Tb  0.3278  0.8278  0.6555
Tb  0.6722  0.1722  0.3445

- volume (Å³/cell) = 136.4
- raw total energy (eV per atom) = -6.685